[1]
# Hf5TiH8

An optimized crystal structure of Hf5TiH8 (PBE, the Alexandria database). Values from VASP.

* uncorrected energy: -6.15 eV per atom
* symmetry: I-4, No. 82
* D(E_F): 7.625 states/eV/cell

Structure (Quantum ESPRESSO input):
```
&SYSTEM
  ibrav = 0, nat = 14, ntyp = 3
/
ATOMIC_SPECIES
H 1.01 H.upf
Ti 47.87 Ti.upf
Hf 178.49 Hf.upf
CELL_PARAMETERS angstrom
5.806 0.252 -0.432
-1.728 5.548 0.432
-2.350 -2.681 4.609
ATOMIC_POSITIONS angstrom
H -0.079 2.258 4.100
H 1.189 3.087 1.423
Ti -1.175 0.826 3.565
H 2.803 0.436 1.547
H -0.199 0.542 1.982
H 1.039 -0.319 3.791
Hf -0.190 -2.093 4.198
H -1.774 -0.956 3.632
H -2.650 1.461 4.545
Hf 2.763 4.618 1.434
Hf -0.668 2.056 0.714
H -1.576 3.035 2.458
Hf 1.550 1.658 2.872
Hf 1.728 -1.215 2.088
```

***

[2]
# PaTi2I8

An optimized crystal structure of PaTi2I8 (PBE, the Alexandria database). Values from VASP.

* uncorrected energy: -4.05 eV per atom
* symmetry: C2/m, No. 12
* raw formation energy: -0.620 eV per atom
* D(E_F): 12.163 states/eV/cell

Structure (Quantum ESPRESSO input):
```
&SYSTEM
  ibrav = 0, nat = 11, ntyp = 3
/
ATOMIC_SPECIES
I 126.90 I.upf
Pa 231.04 Pa.upf
Ti 47.87 Ti.upf
CELL_PARAMETERS angstrom
0.729 -6.539 -5.746
6.669 -0.714 -3.747
3.446 -6.445 2.367
ATOMIC_POSITIONS angstrom
I 7.300 -6.837 -2.562
I 7.143 -7.716 -6.287
Pa 0.000 0.000 0.000
I 1.508 -2.546 -1.592
I 5.766 -10.166 -3.673
Ti 8.810 -8.943 -3.740
I 5.078 -3.532 -3.453
I 3.700 -5.982 -0.839
I 9.335 -11.152 -5.534
Ti 2.033 -4.755 -3.385
I 3.544 -6.861 -4.564
```

***

[3]
# LiTmPuAl

An optimized crystal structure of LiTmPuAl (PBE, the Alexandria database). Values from VASP.

* formation energy from the elements: -9 meV per atom
* uncorrected energy: -6.12 eV per atom
* symmetry: F-43m, No. 216
* D(E_F): 5.789 states/eV/cell

Structure (Quantum ESPRESSO input):
```
&SYSTEM
  ibrav = 0, nat = 4, ntyp = 4
/
ATOMIC_SPECIES
Al 26.98 Al.upf
Pu 244.00 Pu.upf
Tm 168.93 Tm.upf
Li 6.94 Li.upf
CELL_PARAMETERS angstrom
-1.092 1.243 -4.818
0.181 -3.549 -3.650
-4.308 -1.668 -2.147
ATOMIC_POSITIONS angstrom
Al -3.915 -2.980 -7.961
Pu 0.000 0.000 0.000
Tm -2.610 -1.987 -5.307
Li -1.305 -0.993 -2.654
```

***

[4]
# Ac3Mg3Tl2Hg

An optimized crystal structure of Ac3Mg3Tl2Hg (PBE, the Alexandria database). Values from VASP.

* formation energy from the elements: -361 meV per atom
* uncorrected energy: -2.82 eV per atom
* symmetry: P-62m, No. 189
* D(E_F): 8.749 states/eV/cell

Structure (Quantum ESPRESSO input):
```
&SYSTEM
  ibrav = 0, nat = 9, ntyp = 4
/
ATOMIC_SPECIES
Ac 227.00 Ac.upf
Tl 204.38 Tl.upf
Mg 24.30 Mg.upf
Hg 200.59 Hg.upf
CELL_PARAMETERS angstrom
-0.405 -2.480 4.297
5.325 -5.389 -2.609
2.492 6.491 3.983
ATOMIC_POSITIONS angstrom
Ac 4.558 0.643 0.801
Ac 2.220 -2.247 -1.088
Tl 3.234 1.291 3.934
Mg 1.707 3.735 5.200
Mg 3.878 -5.370 0.149
Hg 0.000 0.000 0.000
Mg 1.624 -0.983 2.469
Ac 1.039 2.706 1.660
Tl 4.178 -2.669 1.736
```

***

[5]
# Dy7YIn4

An optimized crystal structure of Dy7YIn4 (PBE, the Alexandria database). Values from VASP.

* formation energy from the elements: -94 meV per atom
* uncorrected energy: -4.23 eV per atom
* symmetry: C2/m, No. 12
* D(E_F): 13.275 states/eV/cell

Structure (Quantum ESPRESSO input):
```
&SYSTEM
  ibrav = 0, nat = 12, ntyp = 3
/
ATOMIC_SPECIES
Dy 162.50 Dy.upf
In 114.82 In.upf
Y 88.91 Y.upf
CELL_PARAMETERS angstrom
-1.031 -1.471 5.358
5.171 -7.428 1.936
5.542 2.645 4.772
ATOMIC_POSITIONS angstrom
Dy 5.133 -2.387 9.273
Dy -0.515 -0.735 2.679
In 5.477 -5.304 5.558
Y 0.000 0.000 0.000
Dy 6.741 -6.239 8.524
Dy 2.941 -0.015 3.542
Dy 4.549 -3.867 2.794
In 1.556 -2.876 2.490
Dy 7.446 -3.258 6.498
Dy 2.236 -2.996 5.568
In 8.126 -3.378 9.576
In 4.205 -0.950 6.508
```

***

[6]
# TbMg2Zn

An optimized crystal structure of TbMg2Zn (PBE, the Alexandria database). Values from VASP.

* formation energy from the elements: -180 meV per atom
* uncorrected energy: -2.45 eV per atom
* symmetry: I-4m2, No. 119
* D(E_F): 2.059 states/eV/cell

Structure (Quantum ESPRESSO input):
```
&SYSTEM
  ibrav = 0, nat = 4, ntyp = 3
/
ATOMIC_SPECIES
Mg 24.30 Mg.upf
Tb 158.93 Tb.upf
Zn 65.41 Zn.upf
CELL_PARAMETERS angstrom
-1.016 -1.166 -4.740
4.025 -1.932 2.220
-2.896 -1.755 3.661
ATOMIC_POSITIONS angstrom
Mg -2.374 -2.056 -0.307
Tb 1.086 -2.145 -1.027
Mg 0.428 -3.361 4.643
Zn -0.137 -1.518 1.703
```

***

[7]
# Zn9CuPd2

An optimized crystal structure of Zn9CuPd2 (PBE, the Alexandria database). Values from VASP.

* formation energy from the elements: -202 meV per atom
* uncorrected energy: -2.36 eV per atom
* symmetry: P-1, No. 2
* D(E_F): 3.441 states/eV/cell

Structure (Quantum ESPRESSO input):
```
&SYSTEM
  ibrav = 0, nat = 12, ntyp = 3
/
ATOMIC_SPECIES
Zn 65.41 Zn.upf
Pd 106.42 Pd.upf
Cu 63.55 Cu.upf
CELL_PARAMETERS angstrom
0.311 0.450 -6.027
-4.477 -1.888 0.178
-2.779 5.281 0.863
ATOMIC_POSITIONS angstrom
Zn -3.390 -0.764 -3.313
Zn -5.396 2.608 -0.659
Zn -4.283 3.821 -4.261
Zn -3.473 1.921 -2.493
Zn -1.675 3.836 -3.531
Zn -2.662 0.021 -0.725
Zn -3.556 4.607 -1.673
Zn -1.550 1.235 -4.328
Zn -5.271 0.007 -1.455
Pd -4.184 1.135 -4.917
Pd -2.761 2.707 -0.070
Cu 0.000 0.000 0.000
```

***

[8]
# PaCuRh2

An optimized crystal structure of PaCuRh2 (PBE, the Alexandria database). Values from VASP.

* formation energy from the elements: -487 meV per atom
* uncorrected energy: -7.56 eV per atom
* symmetry: P4/mmm, No. 123
* polymorph energy (0 for the lowest one): 95.7 kJ/mol of formula units
* D(E_F): 1.372 states/eV/cell

Structure (Quantum ESPRESSO input):
```
&SYSTEM
  ibrav = 0, nat = 4, ntyp = 3
/
ATOMIC_SPECIES
Rh 102.91 Rh.upf
Pa 231.04 Pa.upf
Cu 63.55 Cu.upf
CELL_PARAMETERS angstrom
3.457 0.000 0.000
0.000 3.457 0.000
0.000 0.000 5.736
ATOMIC_POSITIONS angstrom
Rh 0.000 0.000 1.409
Rh 0.000 0.000 4.327
Pa 1.729 1.729 2.868
Cu 1.729 1.729 0.000
```